Density functional theory data (PBE) for a geometry-optimized GePd3Pb structure.

For the formation energy, the calculation gives -0.0505 eV/atom. The symmetry is No. 221. The calculated density is 9.4 g cm⁻³.

a = 4.727 Å, b = 4.727 Å, c = 4.727 Å
α = 90.00°, β = 90.00°, γ = 90.00°
Fractional positions:
Pb1 0.500 0.500 0.500
Ge1 0.000 0.000 0.000
Pd1 0.000 0.500 0.000
Pd2 0.000 0.000 0.500
Pd3 0.500 0.000 0.000

Density functional theory data (PBE) for a geometry-optimized Ba2Ta2N structure.

The symmetry is No. 127. The calculated density is 7.2 g cm⁻³. The calculation puts the calculated total energy at -56.0 eV/cell.

a = 6.859 Å, b = 6.859 Å, c = 6.421 Å
α = 90.00°, β = 90.00°, γ = 90.00°
Fractional positions:
N1 0.000 0.000 0.000
N2 0.500 0.500 0.000
Ba1 0.327 0.827 0.000
Ba2 0.827 0.673 0.000
Ba3 0.673 0.173 0.000
Ba4 0.173 0.327 0.000
Ta1 0.120 0.620 0.500
Ta2 0.620 0.880 0.500
Ta3 0.880 0.380 0.500
Ta4 0.380 0.120 0.500

Q: Among the records above, which one has the highest calculated density?
A: GePd3Pb